1.
# Cs6In3Br14 PBE relaxed
data_Cs6In3Br14
_symmetry_space_group_name_H-M 'P 3'
_symmetry_Int_Tables_number 143
_cell_length_a 13.0557
_cell_length_b 13.0557
_cell_length_c 7.1766
_cell_angle_alpha 90.00
_cell_angle_beta 90.00
_cell_angle_gamma 120.00
loop_
_symmetry_equiv_pos_as_xyz
'x,y,z'
'-y,x-y,z'
'-x+y,-x,z'
loop_
_atom_site_label
_atom_site_fract_x
_atom_site_fract_y
_atom_site_fract_z
Cs1 0.0366 0.4713 0.0000
Cs2 0.3130 0.2077 0.5357
In1 0.0000 0.0000 0.0990
In2 0.3333 0.6667 0.5806
In3 0.6667 0.3333 0.2373
Br1 0.0000 0.0000 0.7433
Br2 0.0746 0.2081 0.2247
Br3 0.1851 0.7498 0.7076
Br4 0.3333 0.6667 0.1962
Br5 0.4651 0.2594 0.0281
Br6 0.5388 0.1339 0.4515
# - E_tot: -2.936 eV per atom
# - Fermi-level density of states: 0.17 states/eV/atom
# - Formation energy (no corrections): -129 kJ/mol of atoms



2.
# H3RhF9 PBE relaxed
data_H3RhF9
_symmetry_space_group_name_H-M 'C 1 c 1'
_symmetry_Int_Tables_number 9
_cell_length_a 16.186
_cell_length_b 5.321
_cell_length_c 9.606
_cell_angle_alpha 90.00
_cell_angle_beta 114.65
_cell_angle_gamma 90.00
loop_
_symmetry_equiv_pos_as_xyz
'x,y,z'
'x,-y,z+1/2'
'x+1/2,y+1/2,z'
'x+1/2,-y+1/2,z+1/2'
loop_
_atom_site_label
_atom_site_fract_x
_atom_site_fract_y
_atom_site_fract_z
H1 0.000 0.036 0.000
H2 0.460 0.216 0.618
H3 0.463 0.267 0.831
Rh1 0.212 0.249 0.885
F1 0.014 0.140 0.475
F2 0.105 0.415 0.863
F3 0.145 0.043 0.302
F4 0.195 0.354 0.689
F5 0.230 0.146 0.082
F6 0.280 0.460 0.467
F7 0.319 0.082 0.907
F8 0.425 0.198 0.725
F9 0.484 0.228 0.535
# - E_tot: -4.040 eV per atom



3.
# Sm6Tm2Mg PBE relaxed
data_Sm6Tm2Mg
_symmetry_space_group_name_H-M 'C 1 2/c 1'
_symmetry_Int_Tables_number 15
_cell_length_a 20.977
_cell_length_b 9.420
_cell_length_c 6.038
_cell_angle_alpha 90.00
_cell_angle_beta 106.70
_cell_angle_gamma 90.00
loop_
_symmetry_equiv_pos_as_xyz
'x,y,z'
'-x,-y,-z'
'-x,y,-z+1/2'
'x,-y,z+1/2'
'x+1/2,y+1/2,z'
'-x+1/2,-y+1/2,-z'
'-x+1/2,y+1/2,-z+1/2'
'x+1/2,-y+1/2,z+1/2'
loop_
_atom_site_label
_atom_site_fract_x
_atom_site_fract_y
_atom_site_fract_z
Sm1 0.080 0.075 0.426
Sm2 0.080 0.424 0.235
Sm3 0.170 0.250 0.920
Tm1 0.250 0.080 0.450
Mg1 0.000 0.251 0.750
# - E_tot: -4.247 eV per atom
# - Fermi-level density of states: 1.23 states/eV/atom
# - Energy of formation from the pure elements: 0.070 eV per atom



4.
# FeAsAu2 PBE relaxed
data_FeAsAu2
_symmetry_space_group_name_H-M 'P 1 m 1'
_symmetry_Int_Tables_number 6
_cell_length_a 2.942
_cell_length_b 2.916
_cell_length_c 7.977
_cell_angle_alpha 90.00
_cell_angle_beta 100.60
_cell_angle_gamma 90.00
loop_
_symmetry_equiv_pos_as_xyz
'x,y,z'
'x,-y,z'
loop_
_atom_site_label
_atom_site_fract_x
_atom_site_fract_y
_atom_site_fract_z
Fe1 0.000 0.000 0.000
As1 0.413 0.500 0.826
Au1 0.257 0.000 0.510
Au2 0.619 0.500 0.238
# - E_tot: -4.819 eV per atom
# - Fermi-level density of states: 0.64 states/eV/atom
# - Energy of formation from the pure elements: 0.097 eV per atom



5.
# Sr3Tb2HfAs6 PBE relaxed
data_Sr3Tb2HfAs6
_symmetry_space_group_name_H-M 'C 1 2/m 1'
_symmetry_Int_Tables_number 12
_cell_length_a 7.246
_cell_length_b 12.559
_cell_length_c 7.544
_cell_angle_alpha 90.00
_cell_angle_beta 108.72
_cell_angle_gamma 90.00
loop_
_symmetry_equiv_pos_as_xyz
'x,y,z'
'-x,-y,-z'
'-x,y,-z'
'x,-y,z'
'x+1/2,y+1/2,z'
'-x+1/2,-y+1/2,-z'
'-x+1/2,y+1/2,-z'
'x+1/2,-y+1/2,z'
loop_
_atom_site_label
_atom_site_fract_x
_atom_site_fract_y
_atom_site_fract_z
Sr1 0.000 0.000 0.000
Sr2 0.000 0.329 0.000
Tb1 0.000 0.166 0.500
Hf1 0.000 0.500 0.500
As1 0.231 0.341 0.717
As2 0.244 0.500 0.281
# - E_tot: -5.519 eV per atom
# - Fermi-level density of states: 0.62 states/eV/atom
# - Energy of formation from the pure elements: -1.172 eV per atom



6.
# LaNdTm3 PBE relaxed
data_LaNdTm3
_symmetry_space_group_name_H-M 'P 1 21/m 1'
_symmetry_Int_Tables_number 11
_cell_length_a 3.666
_cell_length_b 11.539
_cell_length_c 8.622
_cell_angle_alpha 90.00
_cell_angle_beta 102.23
_cell_angle_gamma 90.00
loop_
_symmetry_equiv_pos_as_xyz
'x,y,z'
'-x,-y,-z'
'-x,y+1/2,-z'
'x,-y+1/2,z'
loop_
_atom_site_label
_atom_site_fract_x
_atom_site_fract_y
_atom_site_fract_z
La1 0.187 0.250 0.373
Nd1 0.486 0.750 0.977
Tm1 0.152 0.750 0.305
Tm2 0.341 0.004 0.682
# - E_tot: -4.305 eV per atom
# - Fermi-level density of states: 1.43 states/eV/atom
# - Energy of formation from the pure elements: 0.317 eV per atom



7.
# Pr3SnTe2 PBE relaxed
data_Pr3SnTe2
_symmetry_space_group_name_H-M 'C 1 2/c 1'
_symmetry_Int_Tables_number 15
_cell_length_a 7.901
_cell_length_b 13.666
_cell_length_c 7.880
_cell_angle_alpha 90.00
_cell_angle_beta 109.63
_cell_angle_gamma 90.00
loop_
_symmetry_equiv_pos_as_xyz
'x,y,z'
'-x,-y,-z'
'-x,y,-z+1/2'
'x,-y,z+1/2'
'x+1/2,y+1/2,z'
'-x+1/2,-y+1/2,-z'
'-x+1/2,y+1/2,-z+1/2'
'x+1/2,-y+1/2,z+1/2'
loop_
_atom_site_label
_atom_site_fract_x
_atom_site_fract_y
_atom_site_fract_z
Pr1 0.240 0.080 0.499
Pr2 0.250 0.250 0.000
Sn1 0.000 0.086 0.750
Te1 0.000 0.252 0.250
Te2 0.000 0.417 0.750
# - E_tot: -5.379 eV per atom
# - Fermi-level density of states: 0.29 states/eV/atom
# - Formation energy (no corrections): -123 kJ/mol of atoms



8.
# Zn2Ni5Ge PBE relaxed
data_Zn2Ni5Ge
_symmetry_space_group_name_H-M 'I 4/m m m'
_symmetry_Int_Tables_number 139
_symmetry_space_group_name_Hall '-I 4 2'
_cell_length_a 3.733
_cell_length_b 3.733
_cell_length_c 13.540
_cell_angle_alpha 90.00
_cell_angle_beta 90.00
_cell_angle_gamma 90.00
loop_
_atom_site_label
_atom_site_fract_x
_atom_site_fract_y
_atom_site_fract_z
Zn1 0.000 0.000 0.247
Ni1 0.000 0.000 0.000
Ni2 0.000 0.500 0.122
Ge1 0.000 0.000 0.500
# - E_tot: -4.743 eV per atom
# - Fermi-level density of states: 0.65 states/eV/atom
# - Energy of formation from the pure elements: -0.234 eV per atom



9.
# Ac3Tb12Y PBE relaxed
data_Ac3Tb12Y
_symmetry_space_group_name_H-M 'P 4/m m m'
_symmetry_Int_Tables_number 123
_symmetry_space_group_name_Hall '-P 4 2'
_cell_length_a 5.152
_cell_length_b 5.152
_cell_length_c 20.599
_cell_angle_alpha 90.00
_cell_angle_beta 90.00
_cell_angle_gamma 90.00
loop_
_atom_site_label
_atom_site_fract_x
_atom_site_fract_y
_atom_site_fract_z
Ac1 0.000 0.000 0.000
Ac2 0.000 0.000 0.252
Tb1 0.000 0.500 0.126
Tb2 0.000 0.500 0.380
Tb3 0.500 0.500 0.000
Tb4 0.500 0.500 0.253
Tb5 0.500 0.500 0.500
Y1 0.000 0.000 0.500
# - E_tot: -4.601 eV per atom
# - Fermi-level density of states: 1.57 states/eV/atom
# - Energy of formation from the pure elements: 0.046 eV per atom



10.
# Pm6PC2I3 PBE relaxed
data_Pm6PC2I3
_symmetry_space_group_name_H-M 'C 1 2/m 1'
_symmetry_Int_Tables_number 12
_cell_length_a 6.882
_cell_length_b 11.920
_cell_length_c 8.050
_cell_angle_alpha 90.00
_cell_angle_beta 106.56
_cell_angle_gamma 90.00
loop_
_symmetry_equiv_pos_as_xyz
'x,y,z'
'-x,-y,-z'
'-x,y,-z'
'x,-y,z'
'x+1/2,y+1/2,z'
'-x+1/2,-y+1/2,-z'
'-x+1/2,y+1/2,-z'
'x+1/2,-y+1/2,z'
loop_
_atom_site_label
_atom_site_fract_x
_atom_site_fract_y
_atom_site_fract_z
Pm1 0.203 0.000 0.176
Pm2 0.236 0.322 0.176
P1 0.000 0.500 0.000
C1 0.000 0.167 0.000
I1 0.000 0.000 0.500
I2 0.000 0.336 0.500
# - E_tot: -5.681 eV per atom
# - Fermi-level density of states: 0.33 states/eV/atom
# - Formation energy (no corrections): -90 kJ/mol of atoms



11.
# PuScAlIn PBE relaxed
data_PuScAlIn
_symmetry_space_group_name_H-M 'F -4 3 m'
_symmetry_Int_Tables_number 216
_symmetry_space_group_name_Hall 'F -4 2 3'
_cell_length_a 7.186
_cell_length_b 7.186
_cell_length_c 7.186
_cell_angle_alpha 90.00
_cell_angle_beta 90.00
_cell_angle_gamma 90.00
loop_
_atom_site_label
_atom_site_fract_x
_atom_site_fract_y
_atom_site_fract_z
Pu1 0.000 0.000 0.000
Sc1 0.000 0.000 0.500
Al1 0.250 0.250 0.250
In1 0.250 0.250 0.750
# - E_tot: -7.008 eV per atom
# - Fermi-level density of states: 2.02 states/eV/atom
# - Energy of formation from the pure elements: -0.221 eV per atom



12.
# La2Ho6Al PBE relaxed
data_La2Ho6Al
_symmetry_space_group_name_H-M 'I m m m'
_symmetry_Int_Tables_number 71
_symmetry_space_group_name_Hall '-I 2 2'
_cell_length_a 3.535
_cell_length_b 10.223
_cell_length_c 15.623
_cell_angle_alpha 90.00
_cell_angle_beta 90.00
_cell_angle_gamma 90.00
loop_
_atom_site_label
_atom_site_fract_x
_atom_site_fract_y
_atom_site_fract_z
La1 0.000 0.000 0.143
Ho1 0.000 0.267 0.500
Ho2 0.000 0.342 0.177
Al1 0.000 0.500 0.000
# - E_tot: -4.531 eV per atom
# - Fermi-level density of states: 1.22 states/eV/atom
# - Energy of formation from the pure elements: 0.031 eV per atom



Repeat the twelfth record exactly.
# La2Ho6Al PBE relaxed
data_La2Ho6Al
_symmetry_space_group_name_H-M 'I m m m'
_symmetry_Int_Tables_number 71
_symmetry_space_group_name_Hall '-I 2 2'
_cell_length_a 3.535
_cell_length_b 10.223
_cell_length_c 15.623
_cell_angle_alpha 90.00
_cell_angle_beta 90.00
_cell_angle_gamma 90.00
loop_
_atom_site_label
_atom_site_fract_x
_atom_site_fract_y
_atom_site_fract_z
La1 0.000 0.000 0.143
Ho1 0.000 0.267 0.500
Ho2 0.000 0.342 0.177
Al1 0.000 0.500 0.000
# - E_tot: -4.531 eV per atom
# - Fermi-level density of states: 1.22 states/eV/atom
# - Energy of formation from the pure elements: 0.031 eV per atom